Record 1
Below is a geometry-optimized ThSc3Mn structure, with properties calculated at the PBE level.

Formation energy   0.19 eV/atom
Crystal system   cubic
Energy   -34.66 eV per cell

Cell lengths 4.9430, 4.9430, 4.9430 Å; angles 90.00, 90.00, 90.00 degrees
Positions (direct):
Th1 0.0000 0.0000 0.0000
Sc1 0.0000 0.5000 0.5000
Sc2 0.5000 0.0000 0.5000
Sc3 0.5000 0.5000 0.0000
Mn1 0.5000 0.5000 0.5000

Record 2
Below is a geometry-optimized Sr4Ce3WN8 structure, with properties calculated at the PBE level.

Formation energy from raw total energies   -1012 meV/atom
Crystal system   trigonal
Energy   -120.28 eV per cell

Cell lengths 7.1983, 7.1983, 7.1983 Å; angles 58.66, 58.66, 58.66 degrees
Positions (direct):
Sr1 0.0000 0.0000 0.0000
Sr2 0.0000 0.5000 0.5000
Sr3 0.5000 0.0000 0.5000
Sr4 0.5000 0.5000 0.0000
Ce1 0.0000 0.0000 0.5000
Ce2 0.0000 0.5000 0.0000
Ce3 0.5000 0.0000 0.0000
W1 0.5000 0.5000 0.5000
N1 0.2354 0.2354 0.2354
N2 0.2661 0.7159 0.7159
N3 0.2841 0.2841 0.7339
N4 0.2841 0.7339 0.2841
N5 0.7159 0.2661 0.7159
N6 0.7159 0.7159 0.2661
N7 0.7339 0.2841 0.2841
N8 0.7646 0.7646 0.7646